Record 1
# ErAl3C3, relaxed, DFT PBEsol
data_ErAl3C3
_chemical_formula_sum 'Er2 Al6 C6'
_cell_length_a 3.401
_cell_length_b 3.401
_cell_length_c 17.097
_cell_angle_alpha 90.00
_cell_angle_beta 90.00
_cell_angle_gamma 120.00
_symmetry_space_group_name_H-M 'P 1'
_symmetry_Int_Tables_number 1
loop_
_symmetry_equiv_pos_as_xyz
'x,y,z'
loop_
_atom_site_label
_atom_site_fract_x
_atom_site_fract_y
_atom_site_fract_z
_atom_site_occupancy
Al1 0.333 0.667 0.750 1
Al2 0.667 0.333 0.633 1
Al3 0.667 0.333 0.250 1
Al4 0.667 0.333 0.867 1
Al5 0.333 0.667 0.133 1
Al6 0.333 0.667 0.367 1
C1 0.667 0.333 0.091 1
C2 0.333 0.667 0.591 1
C3 0.333 0.667 0.909 1
C4 0.333 0.667 0.250 1
C5 0.667 0.333 0.750 1
C6 0.667 0.333 0.409 1
Er1 0.000 0.000 0.500 1
Er2 0.000 0.000 0.000 1
# N(E_F): 0.110 states/eV/f.u.
# Space group: P6_3/mmc, No. 194
# Energy of formation: -0.35 eV/atom
# Magnetic moment: 0.000 μB/cell



Record 2
# ZnNiAg2, relaxed, DFT PBEsol
data_ZnNiAg2
_chemical_formula_sum 'Zn1 Ni1 Ag2'
_cell_length_a 2.827
_cell_length_b 2.827
_cell_length_c 7.108
_cell_angle_alpha 90.00
_cell_angle_beta 90.00
_cell_angle_gamma 90.03
_symmetry_space_group_name_H-M 'P 1'
_symmetry_Int_Tables_number 1
loop_
_symmetry_equiv_pos_as_xyz
'x,y,z'
loop_
_atom_site_label
_atom_site_fract_x
_atom_site_fract_y
_atom_site_fract_z
_atom_site_occupancy
Ni1 0.500 0.500 0.500 1
Ag1 0.000 0.000 0.741 1
Ag2 0.000 0.000 0.259 1
Zn1 0.500 0.500 0.000 1
# N(E_F): 1.927 states/eV/f.u.
# Space group: P4/mmm, No. 123
# Energy of formation: 0.09 eV/atom
# Magnetic moment: 0.002 μB/cell



Record 3
# YTa2Pb2, relaxed, DFT PBEsol
data_YTa2Pb2
_chemical_formula_sum 'Y1 Ta2 Pb2'
_cell_length_a 4.788
_cell_length_b 4.788
_cell_length_c 6.474
_cell_angle_alpha 111.70
_cell_angle_beta 111.70
_cell_angle_gamma 90.00
_symmetry_space_group_name_H-M 'P 1'
_symmetry_Int_Tables_number 1
loop_
_symmetry_equiv_pos_as_xyz
'x,y,z'
loop_
_atom_site_label
_atom_site_fract_x
_atom_site_fract_y
_atom_site_fract_z
_atom_site_occupancy
Ta1 0.606 0.606 0.213 1
Ta2 0.394 0.394 0.787 1
Y1 0.000 0.000 0.000 1
Pb1 0.750 0.250 0.500 1
Pb2 0.250 0.750 0.500 1
# N(E_F): 4.862 states/eV/f.u.
# Space group: I4/mmm, No. 139
# Energy of formation: 0.60 eV/atom
# Magnetic moment: 0.000 μB/cell



Record 4
# Al2Hg3, relaxed, DFT PBEsol
data_Al2Hg3
_chemical_formula_sum 'Al2 Hg3'
_cell_length_a 3.318
_cell_length_b 3.318
_cell_length_c 10.646
_cell_angle_alpha 81.04
_cell_angle_beta 81.04
_cell_angle_gamma 60.00
_symmetry_space_group_name_H-M 'P 1'
_symmetry_Int_Tables_number 1
loop_
_symmetry_equiv_pos_as_xyz
'x,y,z'
loop_
_atom_site_label
_atom_site_fract_x
_atom_site_fract_y
_atom_site_fract_z
_atom_site_occupancy
Hg1 0.000 0.000 0.000 1
Hg2 0.796 0.796 0.611 1
Hg3 0.204 0.204 0.389 1
Al1 0.399 0.399 0.804 1
Al2 0.601 0.601 0.196 1
# N(E_F): 1.731 states/eV/f.u.
# Space group: R-3m, No. 166
# Energy of formation: 0.04 eV/atom
# Magnetic moment: 0.000 μB/cell



Record 5
# MgZn2P, relaxed, DFT PBEsol
data_MgZn2P
_chemical_formula_sum 'Mg1 Zn2 P1'
_cell_length_a 2.939
_cell_length_b 2.939
_cell_length_c 7.755
_cell_angle_alpha 90.00
_cell_angle_beta 90.00
_cell_angle_gamma 102.20
_symmetry_space_group_name_H-M 'P 1'
_symmetry_Int_Tables_number 1
loop_
_symmetry_equiv_pos_as_xyz
'x,y,z'
loop_
_atom_site_label
_atom_site_fract_x
_atom_site_fract_y
_atom_site_fract_z
_atom_site_occupancy
Zn1 0.000 0.000 0.770 1
Zn2 0.000 0.000 0.230 1
P1 0.500 0.500 0.000 1
Mg1 0.500 0.500 0.500 1
# N(E_F): 1.438 states/eV/f.u.
# Space group: Cmmm, No. 65
# Energy of formation: 0.15 eV/atom
# Magnetic moment: 0.000 μB/cell



Record 6
# LuAlNi, relaxed, DFT PBEsol
data_LuAlNi
_chemical_formula_sum 'Lu3 Al3 Ni3'
_cell_length_a 3.724
_cell_length_b 6.810
_cell_length_c 6.810
_cell_angle_alpha 120.00
_cell_angle_beta 90.00
_cell_angle_gamma 90.00
_symmetry_space_group_name_H-M 'P 1'
_symmetry_Int_Tables_number 1
loop_
_symmetry_equiv_pos_as_xyz
'x,y,z'
loop_
_atom_site_label
_atom_site_fract_x
_atom_site_fract_y
_atom_site_fract_z
_atom_site_occupancy
Ni1 0.500 0.667 0.333 1
Ni2 0.500 0.333 0.667 1
Ni3 0.000 0.000 0.000 1
Al1 0.500 0.000 0.241 1
Al2 0.500 0.241 0.000 1
Al3 0.500 0.759 0.759 1
Lu1 0.000 0.584 0.000 1
Lu2 0.000 0.000 0.584 1
Lu3 0.000 0.416 0.416 1
# N(E_F): 2.071 states/eV/f.u.
# Space group: P-62m, No. 189
# Energy of formation: -0.65 eV/atom
# Magnetic moment: 0.000 μB/cell



Record 7
# BaRhPb2, relaxed, DFT PBEsol
data_BaRhPb2
_chemical_formula_sum 'Ba1 Rh1 Pb2'
_cell_length_a 4.652
_cell_length_b 4.651
_cell_length_c 6.735
_cell_angle_alpha 69.80
_cell_angle_beta 69.80
_cell_angle_gamma 60.00
_symmetry_space_group_name_H-M 'P 1'
_symmetry_Int_Tables_number 1
loop_
_symmetry_equiv_pos_as_xyz
'x,y,z'
loop_
_atom_site_label
_atom_site_fract_x
_atom_site_fract_y
_atom_site_fract_z
_atom_site_occupancy
Pb1 0.796 0.796 0.613 1
Pb2 0.035 0.035 0.895 1
Ba1 0.246 0.246 0.262 1
Rh1 0.424 0.424 0.729 1
# N(E_F): 2.803 states/eV/f.u.
# Space group: R3m, No. 160
# Energy of formation: -0.30 eV/atom
# Magnetic moment: 0.000 μB/cell



Record 8
# Tc2NiPb, relaxed, DFT PBEsol
data_Tc2NiPb
_chemical_formula_sum 'Tc2 Ni1 Pb1'
_cell_length_a 3.044
_cell_length_b 3.044
_cell_length_c 6.723
_cell_angle_alpha 90.00
_cell_angle_beta 90.00
_cell_angle_gamma 90.00
_symmetry_space_group_name_H-M 'P 1'
_symmetry_Int_Tables_number 1
loop_
_symmetry_equiv_pos_as_xyz
'x,y,z'
loop_
_atom_site_label
_atom_site_fract_x
_atom_site_fract_y
_atom_site_fract_z
_atom_site_occupancy
Ni1 0.000 0.000 0.471 1
Tc1 0.500 0.500 0.252 1
Tc2 0.000 0.000 0.050 1
Pb1 0.500 0.500 0.728 1
# N(E_F): 2.794 states/eV/f.u.
# Space group: P4mm, No. 99
# Energy of formation: 0.35 eV/atom
# Magnetic moment: 0.000 μB/cell



Record 9
# Cs2ZrAl, relaxed, DFT PBEsol
data_Cs2ZrAl
_chemical_formula_sum 'Cs2 Zr1 Al1'
_cell_length_a 5.874
_cell_length_b 5.874
_cell_length_c 5.874
_cell_angle_alpha 60.00
_cell_angle_beta 60.00
_cell_angle_gamma 60.00
_symmetry_space_group_name_H-M 'P 1'
_symmetry_Int_Tables_number 1
loop_
_symmetry_equiv_pos_as_xyz
'x,y,z'
loop_
_atom_site_label
_atom_site_fract_x
_atom_site_fract_y
_atom_site_fract_z
_atom_site_occupancy
Cs1 0.750 0.750 0.750 1
Cs2 0.250 0.250 0.250 1
Zr1 0.500 0.500 0.500 1
Al1 0.000 0.000 0.000 1
# N(E_F): 7.499 states/eV/f.u.
# Space group: Fm-3m, No. 225
# Energy of formation: 1.34 eV/atom
# Magnetic moment: 2.001 μB/cell



Record 10
# CoPRu2, relaxed, DFT PBEsol
data_CoPRu2
_chemical_formula_sum 'Co1 P1 Ru2'
_cell_length_a 2.774
_cell_length_b 4.140
_cell_length_c 4.962
_cell_angle_alpha 114.66
_cell_angle_beta 106.23
_cell_angle_gamma 90.00
_symmetry_space_group_name_H-M 'P 1'
_symmetry_Int_Tables_number 1
loop_
_symmetry_equiv_pos_as_xyz
'x,y,z'
loop_
_atom_site_label
_atom_site_fract_x
_atom_site_fract_y
_atom_site_fract_z
_atom_site_occupancy
P1 0.000 0.500 0.000 1
Co1 0.500 0.000 0.000 1
Ru1 0.289 0.289 0.577 1
Ru2 0.711 0.711 0.423 1
# N(E_F): 3.670 states/eV/f.u.
# Space group: Immm, No. 71
# Energy of formation: -0.11 eV/atom
# Magnetic moment: 1.109 μB/cell



Record 11
# MgPN2, relaxed, DFT PBEsol
data_MgPN2
_chemical_formula_sum 'Mg2 P2 N4'
_cell_length_a 4.551
_cell_length_b 5.143
_cell_length_c 4.551
_cell_angle_alpha 63.74
_cell_angle_beta 90.00
_cell_angle_gamma 116.26
_symmetry_space_group_name_H-M 'P 1'
_symmetry_Int_Tables_number 1
loop_
_symmetry_equiv_pos_as_xyz
'x,y,z'
loop_
_atom_site_label
_atom_site_fract_x
_atom_site_fract_y
_atom_site_fract_z
_atom_site_occupancy
P1 0.750 0.500 0.750 1
P2 0.000 0.000 0.000 1
N1 0.875 0.250 0.698 1
N2 0.698 0.750 0.375 1
N3 0.375 0.250 0.052 1
N4 0.052 0.750 0.875 1
Mg1 0.250 0.500 0.250 1
Mg2 0.500 0.000 0.500 1
# N(E_F): 1.728 states/eV/f.u.
# Space group: I-42d, No. 122
# E_form (uncorrected): -8.296 kcal/mol of atoms
# Magnetic moment: 0.000 μB/cell



Record 12
# LiZrF2, relaxed, DFT PBEsol
data_LiZrF2
_chemical_formula_sum 'Li1 Zr1 F2'
_cell_length_a 4.155
_cell_length_b 4.155
_cell_length_c 4.155
_cell_angle_alpha 60.00
_cell_angle_beta 60.00
_cell_angle_gamma 60.00
_symmetry_space_group_name_H-M 'P 1'
_symmetry_Int_Tables_number 1
loop_
_symmetry_equiv_pos_as_xyz
'x,y,z'
loop_
_atom_site_label
_atom_site_fract_x
_atom_site_fract_y
_atom_site_fract_z
_atom_site_occupancy
Zr1 0.500 0.500 0.500 1
F1 0.750 0.750 0.750 1
F2 0.250 0.250 0.250 1
Li1 0.000 0.000 0.000 1
# N(E_F): 1.580 states/eV/f.u.
# Space group: Fm-3m, No. 225
# E_form (uncorrected): -33.036 kcal/mol of atoms
# Magnetic moment: 2.821 μB/cell